Record 1
The following is a PBE calculation of crystalline CsIn2Hg2I6 at its relaxed geometry, from the Alexandria database.

```
CsIn2Hg2I6
1.0
-7.867 -3.719 3.646
-0.623 1.222 -12.304
6.778 -4.392 10.146
I Cs In Hg
6 1 2 2
Direct
0.415 0.313 0.005
0.791 0.582 0.648
0.585 0.687 0.995
0.209 0.418 0.352
0.102 0.687 0.995
0.898 0.313 0.005
0.500 0.000 0.500
0.979 0.958 0.136
0.021 0.042 0.864
0.817 0.633 0.380
0.183 0.367 0.620
```

## Properties
Its space group is C2/m (12). The uncorrected formation energy is -0.54 eV/atom.


Record 2
The following is a PBE calculation of crystalline Cs3CuPd2Br9 at its relaxed geometry, from the Alexandria database.

```
Cs3CuPd2Br9
1.0
-5.638 -4.548 -1.997
6.981 -2.713 0.606
-1.538 -1.979 8.849
Pd Br Cu Cs
2 9 1 3
Direct
0.667 0.333 0.832
0.333 0.667 0.168
0.668 0.834 0.334
0.834 0.166 0.666
0.000 0.500 0.000
0.166 0.332 0.334
0.500 0.500 0.000
0.332 0.166 0.666
0.834 0.668 0.666
0.500 0.000 0.000
0.166 0.834 0.334
0.000 0.000 0.500
0.667 0.333 0.334
0.000 0.000 0.000
0.333 0.667 0.666
```

## Properties
Its space group is P-3m1 (164). The uncorrected formation energy is -0.90 eV/atom.


Record 3
The following is a PBE calculation of crystalline LaPmCo4 at its relaxed geometry, from the Alexandria database.

```
LaPmCo4
1.0
-3.341 -1.116 -1.705
-0.386 -5.742 0.024
-3.847 -1.482 4.016
Co La Pm
4 1 1
Direct
0.247 0.086 0.420
0.247 0.420 0.086
0.753 0.580 0.914
0.753 0.914 0.580
0.000 0.000 0.000
0.500 0.500 0.500
```

## Properties
Its space group is Immm (71). The relative energy among the computed polymorphs is 0.000 eV/atom. Its formation energy is -83 meV/atom.


Number 1: magnetization 0.00 μB/f.u.. Number 2: magnetization 0.00 μB/f.u.. Number 3: magnetization 2.70 μB/f.u..